Compound: Pm12Er5Tm2
Source: Alexandria via LeMat-Bulk
Functional: PBE-GGA
Structure: optimized geometry

Unit cell a=11.6510 b=11.6510 c=8.7033 alpha=109.19 beta=109.19 gamma=35.34
Closest atoms and distances in Å follow each position.
Fractional positions:
1 Pm 0.0456 0.5521 0.7062  7 Pm 3.46-3.69, 4 Er 3.52-3.66
2 Pm 0.0482 0.0482 0.1949  5 Pm 3.33-3.68, 1 Er 3.44, 2 Tm 3.62
3 Pm 0.1379 0.6499 0.1154  1 Tm 3.36, 4 Er 3.39-3.49, 5 Pm 3.45-3.68
4 Pm 0.3501 0.8621 0.8846  1 Tm 3.36, 4 Er 3.39-3.49, 5 Pm 3.45-3.68
5 Pm 0.3570 0.3570 0.4381  6 Pm 3.52-3.69, 2 Tm 3.54, 3 Er 3.55-3.68
6 Pm 0.4479 0.9544 0.2938  7 Pm 3.46-3.69, 4 Er 3.52-3.66
7 Pm 0.5521 0.0456 0.7062  7 Pm 3.46-3.69, 4 Er 3.52-3.66
8 Pm 0.6430 0.6430 0.5619  6 Pm 3.52-3.69, 2 Tm 3.54, 3 Er 3.55-3.68
9 Pm 0.6499 0.1379 0.1154  1 Tm 3.36, 4 Er 3.39-3.49, 5 Pm 3.45-3.68
10 Pm 0.8621 0.3501 0.8846  1 Tm 3.36, 4 Er 3.39-3.49, 5 Pm 3.45-3.68
11 Pm 0.9518 0.9518 0.8051  5 Pm 3.33-3.68, 1 Er 3.44, 2 Tm 3.62
12 Pm 0.9544 0.4479 0.2938  7 Pm 3.46-3.69, 4 Er 3.52-3.66
13 Er 0.1495 0.1495 0.5963  9 Pm 3.44-3.66, 1 Er 3.51, 2 Tm 3.57
14 Er 0.2507 0.2507 0.0073  9 Pm 3.47-3.68, 3 Er 3.51-3.54
15 Er 0.5000 0.5000 0.0000  4 Pm 3.39
16 Er 0.7493 0.7493 0.9927  9 Pm 3.47-3.68, 3 Er 3.51-3.54
17 Er 0.8505 0.8505 0.4037  9 Pm 3.44-3.66, 1 Er 3.51, 2 Tm 3.57
18 Tm 0.2424 0.7576 0.5000  6 Pm 3.36-3.62, 2 Tm 3.43-3.64, 2 Er 3.57
19 Tm 0.7576 0.2424 0.5000  6 Pm 3.36-3.62, 2 Tm 3.43-3.64, 2 Er 3.57

Values from the calculation:
Total energy (eV per atom): -4.533
Offset from the most stable computed form (meV/atom): 21
Symmetry: C2/m (12)
Formation energy from the elements (eV per atom): 0.139
DOS at the Fermi energy (states/eV per atom): 1.40
Total magnetic moment (μB per formula unit): 0.0